Compound: YAs2Se
Source: the Alexandria database
Functional: PBEsol
Structure: optimized geometry

Lattice parameters (Å, degrees): 4.9051 4.9051 4.9051 60.00 60.00 60.00
Closest atoms and distances in Å follow each position.
Fractional positions:
Y  0.0000  0.0000  0.0000  4 As 3.00, 4 Se 3.00
As  0.5000  0.5000  0.5000  4 As 3.00, 4 Se 3.00
As  0.7500  0.7500  0.7500  4 As 3.00, 4 Y 3.00
Se  0.2500  0.2500  0.2500  4 As 3.00, 4 Y 3.00

## Properties
ΔE_f (raw) ... -0.45 eV per atom
Total magnetic moment ... 0.00 μB/cell
Crystal system ... cubic